Ce2PrGa2Pt2: relaxed, PBE.

Lattice parameters (Å, degrees): 4.4999 4.4999 9.1231 75.72 75.72 60.00
Element x y z (fractional)
Ce1 0.1399 0.1399 0.5802
Ce2 0.8601 0.8601 0.4198
Pr1 0.0000 0.0000 0.0000
Ga1 0.7381 0.7381 0.7857
Ga2 0.2619 0.2619 0.2143
Pt1 0.5775 0.5775 0.2674
Pt2 0.4225 0.4225 0.7326

Results
The density of states at the Fermi level comes out at 0.7273 states/eV/atom. The formation energy is -842 meV/atom. The calculation puts the raw total energy at -40.68 eV per cell.


Ce2PrGa2Pt7: relaxed, PBE.

Lattice parameters (Å, degrees): 4.1375 4.1375 14.2402 83.61 83.61 89.20
Element x y z (fractional)
Ce1 0.8787 0.8787 0.3587
Ce2 0.1213 0.1213 0.6413
Pr1 0.0000 0.0000 0.0000
Ga1 0.5980 0.5980 0.7428
Ga2 0.4020 0.4020 0.2572
Pt1 0.5000 0.5000 0.0000
Pt2 0.3675 0.3675 0.4314
Pt3 0.6325 0.6325 0.5686
Pt4 0.9391 0.4396 0.1584
Pt5 0.4396 0.9391 0.1584
Pt6 0.5604 0.0609 0.8416
Pt7 0.0609 0.5604 0.8416

Results
The density of states at the Fermi level comes out at 1.2358 states/eV/atom. The formation energy is -890 meV/atom. The calculation puts the raw total energy at -75.67 eV per cell.


CePrGa2Pt5: relaxed, PBE.

Lattice parameters (Å, degrees): 4.2978 4.2978 9.3049 90.00 90.00 90.00
Element x y z (fractional)
Ce1 0.0000 0.0000 0.0000
Pr1 0.0000 0.0000 0.5000
Ga1 0.5000 0.5000 0.1344
Ga2 0.5000 0.5000 0.8656
Pt1 0.0000 0.5000 0.2701
Pt2 0.5000 0.0000 0.2701
Pt3 0.0000 0.5000 0.7299
Pt4 0.5000 0.0000 0.7299
Pt5 0.5000 0.5000 0.5000

Results
The density of states at the Fermi level comes out at 1.2154 states/eV/atom. The formation energy is -866 meV/atom. The calculation puts the raw total energy at -54.76 eV per cell.


CePr2Ga3Pt4: relaxed, PBE.

Lattice parameters (Å, degrees): 4.3891 4.3891 11.0710 90.00 90.00 90.00
Element x y z (fractional)
Ce1 0.5000 0.5000 0.5000
Pr1 0.5000 0.0000 0.2234
Pr2 0.0000 0.5000 0.7766
Ga1 0.0000 0.0000 0.5000
Ga2 0.5000 0.0000 0.8802
Ga3 0.0000 0.5000 0.1198
Pt1 0.5000 0.5000 0.0000
Pt2 0.0000 0.0000 0.0000
Pt3 0.5000 0.0000 0.6545
Pt4 0.0000 0.5000 0.3455

Results
The density of states at the Fermi level comes out at 0.6592 states/eV/atom. The formation energy is -931 meV/atom. The calculation puts the raw total energy at -58.04 eV per cell.


CePrGa2Pt2: relaxed, PBE.

Lattice parameters (Å, degrees): 4.5156 4.5156 7.2886 90.00 90.00 120.00
Element x y z (fractional)
Ce1 0.0000 0.0000 0.5000
Pr1 0.0000 0.0000 0.0000
Ga1 0.6667 0.3333 0.2606
Ga2 0.3333 0.6667 0.7394
Pt1 0.6667 0.3333 0.7358
Pt2 0.3333 0.6667 0.2642

Results
The density of states at the Fermi level comes out at 1.1914 states/eV/atom. The formation energy is -986 meV/atom. The calculation puts the raw total energy at -34.76 eV per cell.


CePr2Ga4Pt3: relaxed, PBE.

Lattice parameters (Å, degrees): 4.3064 4.3064 11.6761 90.00 90.00 90.00
Element x y z (fractional)
Ce1 0.5000 0.5000 0.5000
Pr1 0.5000 0.0000 0.2241
Pr2 0.0000 0.5000 0.7759
Ga1 0.5000 0.5000 0.0000
Ga2 0.0000 0.0000 0.0000
Ga3 0.5000 0.0000 0.6715
Ga4 0.0000 0.5000 0.3285
Pt1 0.0000 0.0000 0.5000
Pt2 0.5000 0.0000 0.8820
Pt3 0.0000 0.5000 0.1180

Results
The density of states at the Fermi level comes out at 1.1695 states/eV/atom. The formation energy is -821 meV/atom. The calculation puts the raw total energy at -53.93 eV per cell.


CePrGaPt: relaxed, PBE.

Lattice parameters (Å, degrees): 5.1691 5.1691 5.1691 60.00 60.00 60.00
Element x y z (fractional)
Pr1 0.5000 0.5000 0.5000
Ga1 0.2500 0.2500 0.2500
Ce1 0.0000 0.0000 0.0000
Pt1 0.7500 0.7500 0.7500

Results
The density of states at the Fermi level comes out at 1.7933 states/eV/atom. The formation energy is -665 meV/atom. The calculation puts the raw total energy at -22.44 eV per cell.


CePrPuGa: relaxed, PBE.

Lattice parameters (Å, degrees): 5.2287 5.2287 5.2287 60.00 60.00 60.00
Element x y z (fractional)
Pr1 0.7500 0.7500 0.7500
Ga1 0.0000 0.0000 0.0000
Ce1 0.5000 0.5000 0.5000
Pu1 0.2500 0.2500 0.2500

Results
The density of states at the Fermi level comes out at 2.5003 states/eV/atom. The formation energy is -50 meV/atom. The calculation puts the raw total energy at -28.27 eV per cell.


Question: Number 8 is which compound?
Answer: CePrPuGa


Question: Which of these has the highest raw total energy?
Answer: CePrGaPt


Please write out number 7 again, unchanged.
CePrGaPt: relaxed, PBE.

Lattice parameters (Å, degrees): 5.1691 5.1691 5.1691 60.00 60.00 60.00
Element x y z (fractional)
Pr1 0.5000 0.5000 0.5000
Ga1 0.2500 0.2500 0.2500
Ce1 0.0000 0.0000 0.0000
Pt1 0.7500 0.7500 0.7500

Results
The density of states at the Fermi level comes out at 1.7933 states/eV/atom. The formation energy is -665 meV/atom. The calculation puts the raw total energy at -22.44 eV per cell.


Question: Which of these has the highest raw total energy?
Answer: CePrGaPt